A plane-wave DFT calculation with PBE was carried out for an optimized crystal structure of Ho5Tm5Bi6.

Total magnetization in μB/cell: 0.026
E_form in eV per atom: -0.63
N(E_F) in states/eV/cell: 31.54
Mass density in g cm⁻³: 10.697

Lattice parameters (Å, degrees): 6.319 15.791 9.095 90.00 90.00 90.00
Space group Amm2 (No. 38)
Unique sites:
1 Ho 0.000 0.000 0.000
2 Ho 0.250 0.166 0.742
3 Tm 0.000 0.121 0.363
4 Tm 0.500 0.000 0.482
5 Tm 0.500 0.121 0.121
6 Bi 0.000 0.000 0.630
7 Bi 0.000 0.195 0.048
8 Bi 0.500 0.000 0.853
9 Bi 0.500 0.194 0.436